No. 1
# PBE NaTi, relaxed
# Fermi-level density of states, states/eV/f.u.: 6.79
# E, eV/f.u.: -4.8
# Energy of formation from the pure elements, eV per atom: 2.198
data_NaTi
_chemical_formula_sum 'Na6 Ti6'
_cell_length_a 8.814
_cell_length_b 8.814
_cell_length_c 8.814
_cell_angle_alpha 90.00
_cell_angle_beta 90.00
_cell_angle_gamma 90.00
_symmetry_space_group_name_H-M 'P 1'
_symmetry_Int_Tables_number 1
_symmetry_space_group_name_Hall 'P 1'
loop_
_atom_site_label
_atom_site_type_symbol
_atom_site_fract_x
_atom_site_fract_y
_atom_site_fract_z
_atom_site_occupancy
Na1 Na 0.250 0.000 0.500 1
Na2 Na 0.750 0.000 0.500 1
Na3 Na 0.000 0.500 0.250 1
Na4 Na 0.000 0.500 0.750 1
Na5 Na 0.500 0.250 0.000 1
Na6 Na 0.500 0.750 0.000 1
Ti1 Ti 0.250 0.500 0.000 1
Ti2 Ti 0.750 0.500 0.000 1
Ti3 Ti 0.500 0.000 0.250 1
Ti4 Ti 0.500 0.000 0.750 1
Ti5 Ti 0.000 0.250 0.500 1
Ti6 Ti 0.000 0.750 0.500 1

***

No. 2
# PBE Na3TiTl, relaxed
# Fermi-level density of states, states/eV/f.u.: 18.00
# E, eV/f.u.: -9.3
# Energy of formation from the pure elements, eV per atom: 0.993
data_Na3TiTl
_chemical_formula_sum 'Na3 Ti1 Tl1'
_cell_length_a 5.646
_cell_length_b 5.646
_cell_length_c 5.646
_cell_angle_alpha 90.00
_cell_angle_beta 90.00
_cell_angle_gamma 90.00
_symmetry_space_group_name_H-M 'P 1'
_symmetry_Int_Tables_number 1
_symmetry_space_group_name_Hall 'P 1'
loop_
_atom_site_label
_atom_site_type_symbol
_atom_site_fract_x
_atom_site_fract_y
_atom_site_fract_z
_atom_site_occupancy
Na1 Na 0.000 0.500 0.000 1
Na2 Na 0.000 0.000 0.500 1
Na3 Na 0.500 0.000 0.000 1
Tl1 Tl 0.000 0.000 0.000 1
Ti1 Ti 0.500 0.500 0.500 1

***

No. 3
# PBE NaTiTl, relaxed
# Fermi-level density of states, states/eV/f.u.: 3.96
# E, eV/f.u.: -10.9
# Energy of formation from the pure elements, eV per atom: 0.243
data_NaTiTl
_chemical_formula_sum 'Na2 Ti2 Tl2'
_cell_length_a 16.750
_cell_length_b 6.322
_cell_length_c 6.322
_cell_angle_alpha 151.11
_cell_angle_beta 149.41
_cell_angle_gamma 30.59
_symmetry_space_group_name_H-M 'P 1'
_symmetry_Int_Tables_number 1
_symmetry_space_group_name_Hall 'P 1'
loop_
_atom_site_label
_atom_site_type_symbol
_atom_site_fract_x
_atom_site_fract_y
_atom_site_fract_z
_atom_site_occupancy
Na1 Na 0.127 0.622 0.378 1
Na2 Na 0.354 0.088 0.912 1
Tl1 Tl 0.486 0.655 0.345 1
Tl2 Tl 0.796 0.619 0.381 1
Ti1 Ti 0.932 0.141 0.859 1
Ti2 Ti 0.717 0.015 0.985 1

***

No. 4
# PBE NaTiTl, relaxed
# Fermi-level density of states, states/eV/f.u.: 1.67
# E, eV/f.u.: -10.9
# Energy of formation from the pure elements, eV per atom: 0.224
data_NaTiTl
_chemical_formula_sum 'Na2 Ti2 Tl2'
_cell_length_a 4.775
_cell_length_b 4.775
_cell_length_c 6.683
_cell_angle_alpha 90.00
_cell_angle_beta 90.00
_cell_angle_gamma 59.98
_symmetry_space_group_name_H-M 'P 1'
_symmetry_Int_Tables_number 1
_symmetry_space_group_name_Hall 'P 1'
loop_
_atom_site_label
_atom_site_type_symbol
_atom_site_fract_x
_atom_site_fract_y
_atom_site_fract_z
_atom_site_occupancy
Na1 Na 0.667 0.667 0.000 1
Na2 Na 0.333 0.333 0.000 1
Tl1 Tl 0.000 0.000 0.275 1
Tl2 Tl 0.000 0.000 0.725 1
Ti1 Ti 0.313 0.313 0.500 1
Ti2 Ti 0.687 0.687 0.500 1

***

No. 5
# PBE NaTiTl, relaxed
# Fermi-level density of states, states/eV/f.u.: 2.80
# E, eV/f.u.: -10.6
# Energy of formation from the pure elements, eV per atom: 0.342
data_NaTiTl
_chemical_formula_sum 'Na2 Ti2 Tl2'
_cell_length_a 3.246
_cell_length_b 3.185
_cell_length_c 16.326
_cell_angle_alpha 90.00
_cell_angle_beta 90.00
_cell_angle_gamma 120.63
_symmetry_space_group_name_H-M 'P 1'
_symmetry_Int_Tables_number 1
_symmetry_space_group_name_Hall 'P 1'
loop_
_atom_site_label
_atom_site_type_symbol
_atom_site_fract_x
_atom_site_fract_y
_atom_site_fract_z
_atom_site_occupancy
Tl1 Tl 0.613 0.226 0.000 1
Tl2 Tl 0.281 0.561 0.500 1
Ti1 Ti 0.617 0.234 0.353 1
Ti2 Ti 0.617 0.234 0.647 1
Na1 Na 0.269 0.539 0.821 1
Na2 Na 0.269 0.539 0.179 1

***

No. 6
# PBE NaTi2Tl, relaxed
# Fermi-level density of states, states/eV/f.u.: 4.08
# E, eV/f.u.: -17.6
# Energy of formation from the pure elements, eV per atom: 0.478
data_NaTi2Tl
_chemical_formula_sum 'Na1 Ti2 Tl1'
_cell_length_a 4.827
_cell_length_b 4.827
_cell_length_c 4.827
_cell_angle_alpha 60.00
_cell_angle_beta 60.00
_cell_angle_gamma 60.00
_symmetry_space_group_name_H-M 'P 1'
_symmetry_Int_Tables_number 1
_symmetry_space_group_name_Hall 'P 1'
loop_
_atom_site_label
_atom_site_type_symbol
_atom_site_fract_x
_atom_site_fract_y
_atom_site_fract_z
_atom_site_occupancy
Na1 Na 0.000 0.000 0.000 1
Tl1 Tl 0.500 0.500 0.500 1
Ti1 Ti 0.250 0.250 0.250 1
Ti2 Ti 0.750 0.750 0.750 1

***

No. 7
# PBE NaTiTl, relaxed
# Fermi-level density of states, states/eV/f.u.: 0.37
# E, eV/f.u.: -9.7
# Energy of formation from the pure elements, eV per atom: 0.614
data_NaTiTl
_chemical_formula_sum 'Na1 Ti1 Tl1'
_cell_length_a 4.795
_cell_length_b 4.795
_cell_length_c 4.795
_cell_angle_alpha 60.00
_cell_angle_beta 60.00
_cell_angle_gamma 60.00
_symmetry_space_group_name_H-M 'P 1'
_symmetry_Int_Tables_number 1
_symmetry_space_group_name_Hall 'P 1'
loop_
_atom_site_label
_atom_site_type_symbol
_atom_site_fract_x
_atom_site_fract_y
_atom_site_fract_z
_atom_site_occupancy
Na1 Na 0.250 0.250 0.250 1
Tl1 Tl 0.000 0.000 0.000 1
Ti1 Ti 0.750 0.750 0.750 1

***

No. 8
# PBE NaTiTl, relaxed
# Fermi-level density of states, states/eV/f.u.: 1.68
# E, eV/f.u.: -10.2
# Energy of formation from the pure elements, eV per atom: 0.453
data_NaTiTl
_chemical_formula_sum 'Na1 Ti1 Tl1'
_cell_length_a 5.051
_cell_length_b 5.051
_cell_length_c 3.175
_cell_angle_alpha 90.00
_cell_angle_beta 90.00
_cell_angle_gamma 120.00
_symmetry_space_group_name_H-M 'P 1'
_symmetry_Int_Tables_number 1
_symmetry_space_group_name_Hall 'P 1'
loop_
_atom_site_label
_atom_site_type_symbol
_atom_site_fract_x
_atom_site_fract_y
_atom_site_fract_z
_atom_site_occupancy
Na1 Na 0.667 0.333 0.500 1
Tl1 Tl 0.000 0.000 0.000 1
Ti1 Ti 0.333 0.667 0.000 1